No. 1
Entry from Alexandria via LeMat-Bulk: an optimized crystal structure of Ca2TmSb3Pd4 (PBE-GGA).

Geometry as CIF:
```
data_Ca2TmSb3Pd4
_chemical_formula_sum 'Ca2 Tm1 Sb3 Pd4'
_space_group_name_H-M_alt 'P 1'
_space_group_IT_number 1
_space_group_name_Hall 'P 1'
_cell_length_a 4.478
_cell_length_b 4.478
_cell_length_c 11.560
_cell_angle_alpha 90.00
_cell_angle_beta 90.00
_cell_angle_gamma 90.00
loop_
_atom_site_label
_atom_site_type_symbol
_atom_site_fract_x
_atom_site_fract_y
_atom_site_fract_z
Ca1 Ca 0.000 0.500 0.219
Ca2 Ca 0.500 0.000 0.781
Tm1 Tm 0.000 0.000 0.500
Sb1 Sb 0.000 0.500 0.869
Sb2 Sb 0.500 0.000 0.131
Sb3 Sb 0.500 0.500 0.500
Pd1 Pd 0.000 0.000 0.000
Pd2 Pd 0.000 0.500 0.644
Pd3 Pd 0.500 0.000 0.356
Pd4 Pd 0.500 0.500 0.000
```

Computed properties:
Total DFT energy (no corrections): -4.99 eV/atom
Raw formation energy: -0.832 eV per atom
Crystal system: tetragonal

No. 2
Entry from Alexandria via LeMat-Bulk: an optimized crystal structure of Ca2ZnSb3Pd4 (PBE-GGA).

Geometry as CIF:
```
data_Ca2ZnSb3Pd4
_chemical_formula_sum 'Ca2 Zn1 Sb3 Pd4'
_space_group_name_H-M_alt 'P 1'
_space_group_IT_number 1
_space_group_name_Hall 'P 1'
_cell_length_a 4.507
_cell_length_b 4.507
_cell_length_c 10.778
_cell_angle_alpha 90.00
_cell_angle_beta 90.00
_cell_angle_gamma 90.00
loop_
_atom_site_label
_atom_site_type_symbol
_atom_site_fract_x
_atom_site_fract_y
_atom_site_fract_z
Ca1 Ca 0.000 0.500 0.245
Ca2 Ca 0.500 0.000 0.755
Zn1 Zn 0.000 0.000 0.500
Sb1 Sb 0.000 0.500 0.865
Sb2 Sb 0.500 0.000 0.135
Sb3 Sb 0.500 0.500 0.500
Pd1 Pd 0.000 0.000 0.000
Pd2 Pd 0.000 0.500 0.625
Pd3 Pd 0.500 0.000 0.375
Pd4 Pd 0.500 0.500 0.000
```

Computed properties:
Total DFT energy (no corrections): -4.55 eV/atom
Raw formation energy: -0.713 eV per atom
Crystal system: tetragonal

No. 3
Entry from Alexandria via LeMat-Bulk: an optimized crystal structure of CaZn2SbPd4 (PBE-GGA).

Geometry as CIF:
```
data_CaZn2SbPd4
_chemical_formula_sum 'Ca1 Zn2 Sb1 Pd4'
_space_group_name_H-M_alt 'P 1'
_space_group_IT_number 1
_space_group_name_Hall 'P 1'
_cell_length_a 7.840
_cell_length_b 7.840
_cell_length_c 7.840
_cell_angle_alpha 34.61
_cell_angle_beta 34.61
_cell_angle_gamma 34.61
loop_
_atom_site_label
_atom_site_type_symbol
_atom_site_fract_x
_atom_site_fract_y
_atom_site_fract_z
Ca1 Ca 0.000 0.000 0.000
Zn1 Zn 0.257 0.257 0.257
Zn2 Zn 0.743 0.743 0.743
Sb1 Sb 0.500 0.500 0.500
Pd1 Pd 0.135 0.135 0.135
Pd2 Pd 0.380 0.380 0.380
Pd3 Pd 0.620 0.620 0.620
Pd4 Pd 0.865 0.865 0.865
```

Computed properties:
Total DFT energy (no corrections): -4.20 eV/atom
Raw formation energy: -0.518 eV per atom
Crystal system: trigonal

No. 4
Entry from Alexandria via LeMat-Bulk: an optimized crystal structure of Ca2ZnSbPd6 (PBE-GGA).

Geometry as CIF:
```
data_Ca2ZnSbPd6
_chemical_formula_sum 'Ca2 Zn1 Sb1 Pd6'
_space_group_name_H-M_alt 'P 1'
_space_group_IT_number 1
_space_group_name_Hall 'P 1'
_cell_length_a 6.844
_cell_length_b 6.844
_cell_length_c 6.844
_cell_angle_alpha 60.00
_cell_angle_beta 60.00
_cell_angle_gamma 60.00
loop_
_atom_site_label
_atom_site_type_symbol
_atom_site_fract_x
_atom_site_fract_y
_atom_site_fract_z
Ca1 Ca 0.250 0.250 0.250
Ca2 Ca 0.750 0.750 0.750
Zn1 Zn 0.000 0.000 0.000
Sb1 Sb 0.500 0.500 0.500
Pd1 Pd 0.243 0.243 0.757
Pd2 Pd 0.243 0.757 0.243
Pd3 Pd 0.243 0.757 0.757
Pd4 Pd 0.757 0.243 0.243
Pd5 Pd 0.757 0.243 0.757
Pd6 Pd 0.757 0.757 0.243
```

Computed properties:
Total DFT energy (no corrections): -4.31 eV/atom
Raw formation energy: -0.252 eV per atom
Crystal system: cubic

No. 5
Entry from Alexandria via LeMat-Bulk: an optimized crystal structure of Ca2Zn2SbPd5 (PBE-GGA).

Geometry as CIF:
```
data_Ca2Zn2SbPd5
_chemical_formula_sum 'Ca4 Zn4 Sb2 Pd10'
_space_group_name_H-M_alt 'P 1'
_space_group_IT_number 1
_space_group_name_Hall 'P 1'
_cell_length_a 9.895
_cell_length_b 9.895
_cell_length_c 3.762
_cell_angle_alpha 90.00
_cell_angle_beta 90.00
_cell_angle_gamma 90.00
loop_
_atom_site_label
_atom_site_type_symbol
_atom_site_fract_x
_atom_site_fract_y
_atom_site_fract_z
Ca1 Ca 0.176 0.324 0.000
Ca2 Ca 0.324 0.824 0.000
Ca3 Ca 0.676 0.176 0.000
Ca4 Ca 0.824 0.676 0.000
Zn1 Zn 0.121 0.621 0.000
Zn2 Zn 0.379 0.121 0.000
Zn3 Zn 0.621 0.879 0.000
Zn4 Zn 0.879 0.379 0.000
Sb1 Sb 0.000 0.000 0.000
Sb2 Sb 0.500 0.500 0.000
Pd1 Pd 0.000 0.500 0.500
Pd2 Pd 0.068 0.793 0.500
Pd3 Pd 0.207 0.068 0.500
Pd4 Pd 0.293 0.568 0.500
Pd5 Pd 0.432 0.293 0.500
Pd6 Pd 0.500 0.000 0.500
Pd7 Pd 0.568 0.707 0.500
Pd8 Pd 0.707 0.432 0.500
Pd9 Pd 0.793 0.932 0.500
Pd10 Pd 0.932 0.207 0.500
```

Computed properties:
Total DFT energy (no corrections): -4.33 eV/atom
Raw formation energy: -0.662 eV per atom
Crystal system: tetragonal

No. 6
Entry from Alexandria via LeMat-Bulk: an optimized crystal structure of CaSc2Pd2 (PBE-GGA).

Geometry as CIF:
```
data_CaSc2Pd2
_chemical_formula_sum 'Ca2 Sc4 Pd4'
_space_group_name_H-M_alt 'P 1'
_space_group_IT_number 1
_space_group_name_Hall 'P 1'
_cell_length_a 7.917
_cell_length_b 7.917
_cell_length_c 3.412
_cell_angle_alpha 90.00
_cell_angle_beta 90.00
_cell_angle_gamma 90.00
loop_
_atom_site_label
_atom_site_type_symbol
_atom_site_fract_x
_atom_site_fract_y
_atom_site_fract_z
Ca1 Ca 0.000 0.000 0.000
Ca2 Ca 0.500 0.500 0.000
Sc1 Sc 0.147 0.353 0.500
Sc2 Sc 0.353 0.853 0.500
Sc3 Sc 0.647 0.147 0.500
Sc4 Sc 0.853 0.647 0.500
Pd1 Pd 0.139 0.639 0.000
Pd2 Pd 0.361 0.139 0.000
Pd3 Pd 0.639 0.861 0.000
Pd4 Pd 0.861 0.361 0.000
```

Computed properties:
Total DFT energy (no corrections): -5.65 eV/atom
Energy of formation: -0.64 eV per atom
Crystal system: tetragonal
Polymorph energy (0 for the lowest one): 0 meV/atom